# 1
Below is an optimized crystal structure of Re4Si2Ag, with properties calculated at the PBE level.

Lattice parameters (Å, degrees): 4.7089 4.7089 12.2255 90.00 90.00 90.00
Closest atoms and distances in Å follow each position.
Space group I4/mmm (No. 139)
Unique sites:
Re 0.0000 0.0000 0.2124 [4 per cell]  1 Si 2.32, 1 Ag 2.60
Re 0.0000 0.5000 0.0000 [4 per cell]  2 Ag 2.35
Si 0.0000 0.0000 0.4024 [4 per cell]  1 Re 2.32, 1 Si 2.39
Ag 0.0000 0.0000 0.0000 [2 per cell]  6 Re 2.35-2.60

Calculated values
density: 11.134 g/cm³
electronic total energy: -6.932 eV per atom

***

# 2
Below is an optimized crystal structure of Co2ReGe, with properties calculated at the PBE level.

Lattice parameters (Å, degrees): 3.7109 3.7109 16.1138 90.00 90.00 90.00
Closest atoms and distances in Å follow each position.
Space group I-42d (No. 122)
Unique sites:
Co 0.2452 0.2500 0.1250 [8 per cell]  2 Ge 2.40, 2 Re 2.41, 4 Co 2.60-2.65
Re 0.0000 0.0000 0.5000 [4 per cell]  4 Co 2.41, 4 Ge 2.62
Ge 0.0000 0.0000 0.0000 [4 per cell]  4 Co 2.40, 4 Re 2.62

Calculated values
density: 11.276 g/cm³
ΔE_f: 553 meV per atom

***

# 3
Below is an optimized crystal structure of Ca3InRh2, with properties calculated at the PBE level.

Lattice parameters (Å, degrees): 8.4485 8.4485 15.6560 90.00 90.00 120.00
Closest atoms and distances in Å follow each position.
Space group R-3c (No. 167, hexagonal axes)
Unique sites:
Ca 0.0000 0.3069 0.2500 [18 per cell]  4 Rh 2.91-3.20, 2 In 3.21
In 0.0000 0.0000 0.0000 [6 per cell]  2 Rh 2.59
Rh 0.0000 0.0000 0.1654 [12 per cell]  1 In 2.59, 1 Rh 2.65

Calculated values
density: 4.539 g/cm³
ΔE_f: -319 meV per atom

***

# 4
Below is an optimized crystal structure of HoZr2Pb, with properties calculated at the PBE level.

Lattice parameters (Å, degrees): 4.5897 4.5897 4.6440 90.00 90.00 90.00
Closest atoms and distances in Å follow each position.
Space group P4/mmm (No. 123)
Unique sites:
Ho 0.0000 0.0000 0.0000 [1 per cell]  4 Pb 3.25, 8 Zr 3.26
Zr 0.0000 0.5000 0.5000 [2 per cell]  4 Zr 3.25, 4 Pb 3.26, 4 Ho 3.26
Pb 0.5000 0.5000 0.0000 [1 per cell]  4 Ho 3.25, 8 Zr 3.26

Calculated values
energy above the lowest structure with this stoichiometry: 0.182 eV/atom
density: 9.413 g/cm³
ΔE_f: -138 meV per atom

***

# 5
Below is an optimized crystal structure of Sc2MoPbC, with properties calculated at the PBE level.

Lattice parameters (Å, degrees): 4.6230 4.6230 4.1390 90.00 90.00 90.00
Closest atoms and distances in Å follow each position.
Space group P4/mmm (No. 123)
Unique sites:
Sc 0.0000 0.5000 0.0000 [2 per cell]  2 C 2.31
Mo 0.0000 0.0000 0.5000 [1 per cell]  2 C 2.07
Pb 0.5000 0.5000 0.5000 [1 per cell]  8 Sc 3.10, 4 Mo 3.27
C 0.0000 0.0000 0.0000 [1 per cell]  2 Mo 2.07, 4 Sc 2.31

Calculated values
density: 7.604 g/cm³
ΔE_f: -351 meV per atom

***

# 6
Below is an optimized crystal structure of DyVFe10, with properties calculated at the PBE level.

Lattice parameters (Å, degrees): 4.0108 4.8026 8.2723 90.00 90.00 90.00
Closest atoms and distances in Å follow each position.
Space group Pmmm (No. 47)
Unique sites:
Dy 0.0000 0.0000 0.0000 [1 per cell]  18 Fe 2.86-3.18
V 0.0000 0.5000 0.5000 [1 per cell]  6 Fe 2.56-2.72
Fe 0.0000 0.0000 0.3461 [2 per cell]  7 Fe 2.38-2.55
Fe 0.0000 0.5000 0.1899 [2 per cell]  6 Fe 2.40-2.55, 1 V 2.56
Fe 0.5000 0.0000 0.5000 [1 per cell]  8 Fe 2.33-2.38
Fe 0.5000 0.2523 0.2593 [4 per cell]  8 Fe 2.33-2.45
Fe 0.5000 0.5000 0.0000 [1 per cell]  8 Fe 2.45-2.55

Calculated values
density: 8.044 g/cm³
ΔE_f: 83 meV per atom

***

# 7
Below is an optimized crystal structure of LaSi, with properties calculated at the PBE level.

Lattice parameters (Å, degrees): 11.8353 11.8353 3.8317 90.00 90.00 90.00
Closest atoms and distances in Å follow each position.
Space group P4/m (No. 83)
Unique sites:
La 0.0362 0.2517 0.0000 [4 per cell]  4 Si 3.09-3.20
La 0.2459 0.6532 0.5000 [4 per cell]  4 Si 2.96-3.07
Si 0.0976 0.5148 0.0000 [4 per cell]  3 Si 2.34-2.38
Si 0.1616 0.4140 0.5000 [4 per cell]  2 Si 2.38

Calculated values
density: 4.133 g/cm³
electronic total energy: -5.344 eV per atom

***

# 8
Below is an optimized crystal structure of Nd2Y2In3, with properties calculated at the PBE level.

Lattice parameters (Å, degrees): 4.6385 25.0673 3.4797 90.00 90.00 90.00
Closest atoms and distances in Å follow each position.
Space group Cmmm (No. 65)
Unique sites:
Nd 0.0000 0.0705 0.0000 [4 per cell]  1 Y 3.31, 8 In 3.40-3.49, 3 Nd 3.48-3.53
Y 0.0000 0.2024 0.0000 [4 per cell]  4 In 3.20, 1 Nd 3.31, 4 Y 3.33-3.48
In 0.0000 0.3520 0.5000 [4 per cell]  4 Y 3.20, 2 In 3.48, 4 Nd 3.49
In 0.0000 0.5000 0.5000 [2 per cell]  8 Nd 3.40, 4 In 3.48-3.71

Calculated values
energy above the lowest structure with this stoichiometry: 0.000 eV/atom
density: 6.655 g/cm³
ΔE_f: -323 meV per atom

***

# 9
Below is an optimized crystal structure of LaPm2Ho2, with properties calculated at the PBE level.

Lattice parameters (Å, degrees): 6.0788 6.0788 9.7454 90.00 90.00 90.00
Closest atoms and distances in Å follow each position.
Space group I4/mmm (No. 139)
Unique sites:
La 0.0000 0.0000 0.0000 [2 per cell]  2 Ho 3.40
Pm 0.0000 0.5000 0.2500 [4 per cell]  4 Ho 3.19
Ho 0.0000 0.0000 0.3489 [4 per cell]  1 Ho 2.95, 4 Pm 3.19

Calculated values
energy above the lowest structure with this stoichiometry: 0.357 eV/atom
density: 6.998 g/cm³
ΔE_f: 481 meV per atom

***

Repeat the seventh record exactly.
Below is an optimized crystal structure of LaSi, with properties calculated at the PBE level.

Lattice parameters (Å, degrees): 11.8353 11.8353 3.8317 90.00 90.00 90.00
Closest atoms and distances in Å follow each position.
Space group P4/m (No. 83)
Unique sites:
La 0.0362 0.2517 0.0000 [4 per cell]  4 Si 3.09-3.20
La 0.2459 0.6532 0.5000 [4 per cell]  4 Si 2.96-3.07
Si 0.0976 0.5148 0.0000 [4 per cell]  3 Si 2.34-2.38
Si 0.1616 0.4140 0.5000 [4 per cell]  2 Si 2.38

Calculated values
density: 4.133 g/cm³
electronic total energy: -5.344 eV per atom